# 1
PrSI | PBEsol | optimized geometry

Properties
Raw formation energy: -1.803 eV per atom

Geometry as CIF:
```
data_PrSI
_chemical_formula_sum 'Pr8 S8 I8'
_space_group_name_H-M_alt 'P 1'
_space_group_IT_number 1
_space_group_name_Hall 'P 1'
_cell_length_a 7.016
_cell_length_b 7.285
_cell_length_c 14.121
_cell_angle_alpha 90.00
_cell_angle_beta 90.00
_cell_angle_gamma 90.00
loop_
_atom_site_label
_atom_site_type_symbol
_atom_site_fract_x
_atom_site_fract_y
_atom_site_fract_z
I1 I 0.175 0.096 0.300
I2 I 0.325 0.096 0.800
I3 I 0.675 0.404 0.300
I4 I 0.325 0.596 0.700
I5 I 0.825 0.404 0.800
I6 I 0.675 0.904 0.200
I7 I 0.825 0.904 0.700
I8 I 0.175 0.596 0.200
S1 S 0.002 0.759 0.974
S2 S 0.498 0.259 0.026
S3 S 0.002 0.259 0.526
S4 S 0.998 0.741 0.474
S5 S 0.498 0.759 0.474
S6 S 0.502 0.241 0.526
S7 S 0.998 0.241 0.026
S8 S 0.502 0.741 0.974
Pr1 Pr 0.242 0.469 0.917
Pr2 Pr 0.758 0.031 0.417
Pr3 Pr 0.758 0.531 0.083
Pr4 Pr 0.258 0.469 0.417
Pr5 Pr 0.242 0.969 0.583
Pr6 Pr 0.742 0.531 0.583
Pr7 Pr 0.258 0.969 0.083
Pr8 Pr 0.742 0.031 0.917
```

# 2
PrSiI | PBEsol | optimized geometry

Properties
Raw formation energy: -1.114 eV per atom

Geometry as CIF:
```
data_PrSiI
_chemical_formula_sum 'Pr2 Si2 I2'
_space_group_name_H-M_alt 'P 1'
_space_group_IT_number 1
_space_group_name_Hall 'P 1'
_cell_length_a 4.143
_cell_length_b 4.143
_cell_length_c 11.727
_cell_angle_alpha 90.00
_cell_angle_beta 90.00
_cell_angle_gamma 120.00
loop_
_atom_site_label
_atom_site_type_symbol
_atom_site_fract_x
_atom_site_fract_y
_atom_site_fract_z
I1 I 0.333 0.667 0.351
I2 I 0.667 0.333 0.649
Si1 Si 0.333 0.667 0.995
Si2 Si 0.667 0.333 0.005
Pr1 Pr 0.000 0.000 0.830
Pr2 Pr 0.000 0.000 0.170
```

# 3
PtI3 | PBEsol | optimized geometry

Properties
Raw formation energy: -0.141 eV per atom

Geometry as CIF:
```
data_PtI3
_chemical_formula_sum 'Pt4 I12'
_space_group_name_H-M_alt 'P 1'
_space_group_IT_number 1
_space_group_name_Hall 'P 1'
_cell_length_a 6.610
_cell_length_b 6.800
_cell_length_c 13.258
_cell_angle_alpha 85.02
_cell_angle_beta 79.71
_cell_angle_gamma 60.92
loop_
_atom_site_label
_atom_site_type_symbol
_atom_site_fract_x
_atom_site_fract_y
_atom_site_fract_z
I1 I 0.740 0.805 0.377
I2 I 0.065 0.137 0.363
I3 I 0.260 0.195 0.623
I4 I 0.202 0.863 0.863
I5 I 0.798 0.137 0.137
I6 I 0.636 0.507 0.621
I7 I 0.455 0.805 0.123
I8 I 0.364 0.493 0.379
I9 I 0.935 0.863 0.637
I10 I 0.857 0.507 0.879
I11 I 0.143 0.493 0.121
I12 I 0.545 0.195 0.877
Pt1 Pt 0.500 0.500 0.000
Pt2 Pt 0.094 0.812 0.250
Pt3 Pt 0.906 0.188 0.750
Pt4 Pt 0.000 0.500 0.500
```

# 4
PtI4 | PBEsol | optimized geometry

Properties
Raw formation energy: -0.132 eV per atom

Geometry as CIF:
```
data_PtI4
_chemical_formula_sum 'Pt8 I32'
_space_group_name_H-M_alt 'P 1'
_space_group_IT_number 1
_space_group_name_Hall 'P 1'
_cell_length_a 6.874
_cell_length_b 12.699
_cell_length_c 15.602
_cell_angle_alpha 90.00
_cell_angle_beta 90.00
_cell_angle_gamma 90.00
loop_
_atom_site_label
_atom_site_type_symbol
_atom_site_fract_x
_atom_site_fract_y
_atom_site_fract_z
I1 I 0.411 0.793 0.807
I2 I 0.773 0.559 0.818
I3 I 0.062 0.296 0.565
I4 I 0.089 0.293 0.807
I5 I 0.438 0.796 0.565
I6 I 0.273 0.559 0.682
I7 I 0.911 0.707 0.193
I8 I 0.227 0.441 0.182
I9 I 0.227 0.059 0.682
I10 I 0.247 0.452 0.425
I11 I 0.747 0.048 0.575
I12 I 0.753 0.952 0.075
I13 I 0.727 0.441 0.318
I14 I 0.938 0.796 0.935
I15 I 0.247 0.048 0.925
I16 I 0.438 0.704 0.065
I17 I 0.253 0.548 0.925
I18 I 0.089 0.207 0.307
I19 I 0.938 0.704 0.435
I20 I 0.562 0.296 0.935
I21 I 0.589 0.293 0.693
I22 I 0.562 0.204 0.435
I23 I 0.411 0.707 0.307
I24 I 0.062 0.204 0.065
I25 I 0.589 0.207 0.193
I26 I 0.911 0.793 0.693
I27 I 0.753 0.548 0.575
I28 I 0.747 0.452 0.075
I29 I 0.253 0.952 0.425
I30 I 0.773 0.941 0.318
I31 I 0.273 0.941 0.182
I32 I 0.727 0.059 0.818
Pt1 Pt 0.591 0.676 0.689
Pt2 Pt 0.091 0.676 0.811
Pt3 Pt 0.591 0.824 0.189
Pt4 Pt 0.909 0.324 0.189
Pt5 Pt 0.091 0.824 0.311
Pt6 Pt 0.909 0.176 0.689
Pt7 Pt 0.409 0.324 0.311
Pt8 Pt 0.409 0.176 0.811
```